Record 1
Pm2Bi2O5 | OQMD | PBE-GGA | relaxed; energy above the lowest structure with this stoichiometry = 4.86 eV/f.u.; electronic total energy = -6.190 eV/atom
1.0
-1.407 -3.422 6.497
3.361 -2.731 -0.711
2.699 2.787 2.052
Bi O Pm
2 5 2
Direct
0.216 0.500 0.500
0.784 0.500 0.500
0.274 0.500 0.000
0.726 0.500 0.000
0.274 0.000 0.500
0.726 0.000 0.500
0.500 0.500 0.500
0.000 0.000 0.000
0.500 0.000 0.000

Record 2
PmBiO4 | OQMD | PBE-GGA | relaxed; electronic total energy = -6.739 eV/atom
1.0
4.197 3.291 -4.109
-6.195 -0.855 -2.493
-0.211 2.381 4.748
Bi O Pm
2 8 2
Direct
0.399 0.601 0.250
0.601 0.399 0.750
0.451 0.889 0.170
0.768 0.714 0.231
0.286 0.232 0.269
0.111 0.549 0.330
0.889 0.451 0.670
0.714 0.768 0.731
0.232 0.286 0.769
0.549 0.111 0.830
0.865 0.135 0.250
0.135 0.865 0.750

Record 3
PmBiTeO2 | OQMD | PBE-GGA | relaxed; electronic total energy = -6.267 eV/atom
1.0
-6.117 0.499 3.253
-6.228 2.181 -2.168
5.528 -3.984 -1.350
Bi O Pm Te
1 2 1 1
Direct
0.656 0.656 0.000
0.751 0.251 0.500
0.251 0.751 0.500
0.346 0.346 0.000
0.997 0.997 0.000